# 1
# PBE La8PS3Cl4, optimized geometry
# Crystal system ... trigonal
# DFT total energy ... -5.885 eV/atom
data_La8PS3Cl4
_chemical_formula_sum 'La24 P3 S9 Cl12'
_cell_length_a 8.3297
_cell_length_b 8.3297
_cell_length_c 20.5599
_cell_angle_alpha 90.00
_cell_angle_beta 90.00
_cell_angle_gamma 120.00
_symmetry_space_group_name_H-M 'R -3 m'
_symmetry_Int_Tables_number 166
_symmetry_space_group_name_Hall '-R 3 2"'
loop_
_atom_site_label
_atom_site_fract_x
_atom_site_fract_y
_atom_site_fract_z
La1 0.0000 0.0000 0.2434
La2 0.0006 0.5003 0.2436
P1 0.0000 0.0000 0.5000
S1 0.0000 0.5000 0.5000
Cl1 0.0000 0.0000 0.0000
Cl2 0.0000 0.5000 0.0000

=====

# 2
# PBE La6P3S2Cl, optimized geometry
# Crystal system ... monoclinic
# DFT total energy ... -6.520 eV/atom
data_La6P3S2Cl
_chemical_formula_sum 'La12 P6 S4 Cl2'
_cell_length_a 18.414
_cell_length_b 4.217
_cell_length_c 8.467
_cell_angle_alpha 90.00
_cell_angle_beta 103.29
_cell_angle_gamma 90.00
_symmetry_space_group_name_H-M 'C 1 2/m 1'
_symmetry_Int_Tables_number 12
loop_
_symmetry_equiv_pos_as_xyz
'x,y,z'
'-x,-y,-z'
'-x,y,-z'
'x,-y,z'
'x+1/2,y+1/2,z'
'-x+1/2,-y+1/2,-z'
'-x+1/2,y+1/2,-z'
'x+1/2,-y+1/2,z'
loop_
_atom_site_label
_atom_site_fract_x
_atom_site_fract_y
_atom_site_fract_z
La1 0.001 0.000 0.234
La2 0.166 0.500 0.087
La3 0.173 0.500 0.583
P1 0.000 0.500 0.000
P2 0.165 0.000 0.334
S1 0.166 0.000 0.831
Cl1 0.000 0.500 0.500

=====

# 3
# PBE La6P3SCl2, optimized geometry
# Crystal system ... monoclinic
# DFT total energy ... -6.262 eV/atom
data_La6P3SCl2
_chemical_formula_sum 'La12 P6 S2 Cl4'
_cell_length_a 7.315
_cell_length_b 12.677
_cell_length_c 7.361
_cell_angle_alpha 90.00
_cell_angle_beta 109.32
_cell_angle_gamma 90.00
_symmetry_space_group_name_H-M 'C 1 2/m 1'
_symmetry_Int_Tables_number 12
loop_
_symmetry_equiv_pos_as_xyz
'x,y,z'
'-x,-y,-z'
'-x,y,-z'
'x,-y,z'
'x+1/2,y+1/2,z'
'-x+1/2,-y+1/2,-z'
'-x+1/2,y+1/2,-z'
'x+1/2,-y+1/2,z'
loop_
_atom_site_label
_atom_site_fract_x
_atom_site_fract_y
_atom_site_fract_z
La1 0.233 0.000 0.230
La2 0.249 0.339 0.230
P1 0.000 0.169 0.000
P2 0.000 0.500 0.000
S1 0.000 0.000 0.500
Cl1 0.000 0.333 0.500

=====

# 4
# PBE LaPSCl2, optimized geometry
# Excess energy over the best structure of this formula in the dataset ... 0.0 kJ/mol of atoms
# Crystal system ... tetragonal
data_LaPSCl2
_chemical_formula_sum 'La1 P1 S1 Cl2'
_cell_length_a 5.504
_cell_length_b 5.504
_cell_length_c 5.757
_cell_angle_alpha 90.00
_cell_angle_beta 90.00
_cell_angle_gamma 90.00
_symmetry_space_group_name_H-M 'P 4/m m m'
_symmetry_Int_Tables_number 123
_symmetry_space_group_name_Hall '-P 4 2'
loop_
_atom_site_label
_atom_site_fract_x
_atom_site_fract_y
_atom_site_fract_z
La1 0.000 0.000 0.000
P1 0.500 0.500 0.500
S1 0.000 0.000 0.500
Cl1 0.000 0.500 0.000

=====

# 5
# PBE La8PS4Cl3, optimized geometry
# Crystal system ... trigonal
# DFT total energy ... -6.094 eV/atom
data_La8PS4Cl3
_chemical_formula_sum 'La24 P3 S12 Cl9'
_cell_length_a 8.3410
_cell_length_b 8.3410
_cell_length_c 20.4465
_cell_angle_alpha 90.00
_cell_angle_beta 90.00
_cell_angle_gamma 120.00
_symmetry_space_group_name_H-M 'R -3 m'
_symmetry_Int_Tables_number 166
_symmetry_space_group_name_Hall '-R 3 2"'
loop_
_atom_site_label
_atom_site_fract_x
_atom_site_fract_y
_atom_site_fract_z
La1 0.0000 0.0000 0.2438
La2 0.0102 0.5051 0.7536
P1 0.0000 0.0000 0.0000
S1 0.0000 0.0000 0.5000
S2 0.0000 0.5000 0.5000
Cl1 0.0000 0.5000 0.0000

=====

# 6
# PBE La4PS2Cl, optimized geometry
# Crystal system ... monoclinic
# DFT total energy ... -6.331 eV/atom
data_La4PS2Cl
_chemical_formula_sum 'La4 P1 S2 Cl1'
_cell_length_a 7.254
_cell_length_b 4.190
_cell_length_c 7.271
_cell_angle_alpha 90.00
_cell_angle_beta 109.36
_cell_angle_gamma 90.00
_symmetry_space_group_name_H-M 'P 1 2/m 1'
_symmetry_Int_Tables_number 10
loop_
_symmetry_equiv_pos_as_xyz
'x,y,z'
'-x,-y,-z'
'-x,y,-z'
'x,-y,z'
loop_
_atom_site_label
_atom_site_fract_x
_atom_site_fract_y
_atom_site_fract_z
La1 0.236 0.000 0.231
La2 0.246 0.500 0.761
P1 0.500 0.000 0.000
S1 0.000 0.000 0.500
S2 0.000 0.500 0.000
Cl1 0.500 0.500 0.500

=====

Question: What is the formula in the first record?
Answer: La8PS3Cl4

=====

Copy entry 2 word for word.
# PBE La6P3S2Cl, optimized geometry
# Crystal system ... monoclinic
# DFT total energy ... -6.520 eV/atom
data_La6P3S2Cl
_chemical_formula_sum 'La12 P6 S4 Cl2'
_cell_length_a 18.414
_cell_length_b 4.217
_cell_length_c 8.467
_cell_angle_alpha 90.00
_cell_angle_beta 103.29
_cell_angle_gamma 90.00
_symmetry_space_group_name_H-M 'C 1 2/m 1'
_symmetry_Int_Tables_number 12
loop_
_symmetry_equiv_pos_as_xyz
'x,y,z'
'-x,-y,-z'
'-x,y,-z'
'x,-y,z'
'x+1/2,y+1/2,z'
'-x+1/2,-y+1/2,-z'
'-x+1/2,y+1/2,-z'
'x+1/2,-y+1/2,z'
loop_
_atom_site_label
_atom_site_fract_x
_atom_site_fract_y
_atom_site_fract_z
La1 0.001 0.000 0.234
La2 0.166 0.500 0.087
La3 0.173 0.500 0.583
P1 0.000 0.500 0.000
P2 0.165 0.000 0.334
S1 0.166 0.000 0.831
Cl1 0.000 0.500 0.500